First-principles (PBE) data for a relaxed Sm5Y5Er crystal, as listed in Alexandria via LeMat-Bulk.

DFT formation energy: 3.48 eV per formula unit
M_tot: 0.000 μB/cell
symmetry: No. 187
E: -5.18 eV/atom

```
Sm5Y5Er
1.0
6.1380 0.0000 0.0000
-3.0690 5.3157 0.0000
0.0000 0.0000 11.4743
Sm Y Er
5 5 1
Direct
0.0000 0.0000 0.2363
0.0000 0.0000 0.7637
0.3398 0.1699 0.0000
0.8301 0.1699 0.0000
0.8301 0.6602 0.0000
0.0000 0.0000 0.5000
0.3333 0.6667 0.1825
0.3333 0.6667 0.8175
0.6667 0.3333 0.3406
0.6667 0.3333 0.6594
0.3333 0.6667 0.5000
```